(1)
Here is Rb2SrPtO6 after structural relaxation from Alexandria. Energies are from PBE-GGA.

a = 6.2458 Å, b = 6.2458 Å, c = 6.2458 Å
α = 60.00°, β = 60.00°, γ = 60.00°
Element x y z (fractional)
Rb (0.2500, 0.2500, 0.2500)
Rb (0.7500, 0.7500, 0.7500)
Sr (0.0000, 0.0000, 0.0000)
Pt (0.5000, 0.5000, 0.5000)
O (0.2797, 0.2797, 0.7203)
O (0.2797, 0.7203, 0.2797)
O (0.2797, 0.7203, 0.7203)
O (0.7203, 0.2797, 0.2797)
O (0.7203, 0.2797, 0.7203)
O (0.7203, 0.7203, 0.2797)

Results
As for the formation energy (no corrections): -11.068 eV/f.u. The density is 5297 kg/m³. The calculated total energy comes out at -0.185 hartree per atom.

=====

(2)
Here is Rb2TbPtO6 after structural relaxation from Alexandria. Energies are from PBE-GGA.

a = 5.9971 Å, b = 5.9971 Å, c = 5.9971 Å
α = 60.00°, β = 60.00°, γ = 60.00°
Element x y z (fractional)
Rb (0.2500, 0.2500, 0.2500)
Rb (0.7500, 0.7500, 0.7500)
Tb (0.0000, 0.0000, 0.0000)
Pt (0.5000, 0.5000, 0.5000)
O (0.2681, 0.2681, 0.7319)
O (0.2681, 0.7319, 0.2681)
O (0.2681, 0.7319, 0.7319)
O (0.7319, 0.2681, 0.2681)
O (0.7319, 0.2681, 0.7319)
O (0.7319, 0.7319, 0.2681)

Results
As for the formation energy (no corrections): -14.323 eV/f.u. The density is 6761 kg/m³. The calculated total energy comes out at -0.208 hartree per atom.

=====

(3)
Here is Rb2TbPtO4 after structural relaxation from Alexandria. Energies are from PBE-GGA.

a = 13.8469 Å, b = 12.2221 Å, c = 7.8403 Å
α = 84.28°, β = 61.43°, γ = 34.29°
Element x y z (fractional)
Rb (0.0652, 0.0652, 0.6848)
Rb (0.3152, 0.3152, 0.9348)
Rb (0.6848, 0.6848, 0.0652)
Rb (0.9348, 0.9348, 0.3152)
Tb (0.1250, 0.1250, 0.1250)
Tb (0.8750, 0.8750, 0.8750)
Pt (0.3750, 0.3750, 0.3750)
Pt (0.6250, 0.6250, 0.6250)
O (0.0428, 0.7036, 0.5115)
O (0.2421, 0.5115, 0.7036)
O (0.2964, 0.9572, 0.7579)
O (0.4885, 0.7579, 0.9572)
O (0.5115, 0.2421, 0.0428)
O (0.7036, 0.0428, 0.2421)
O (0.7579, 0.4885, 0.2964)
O (0.9572, 0.2964, 0.4885)

Results
As for the formation energy (no corrections): -11.194 eV/f.u. The density is 3713 kg/m³. The calculated total energy comes out at -0.200 hartree per atom.

=====

(4)
Here is Rb3Tb2PtO6 after structural relaxation from Alexandria. Energies are from PBE-GGA.

a = 5.9486 Å, b = 5.9486 Å, c = 6.9024 Å
α = 99.78°, β = 99.78°, γ = 117.62°
Element x y z (fractional)
Rb (0.0000, 0.0000, 0.0000)
Rb (0.3356, 0.6644, 0.0000)
Rb (0.6644, 0.3356, 0.0000)
Tb (0.1645, 0.8355, 0.5000)
Tb (0.8355, 0.1645, 0.5000)
Pt (0.5000, 0.5000, 0.5000)
O (0.1265, 0.4386, 0.3343)
O (0.2021, 0.2021, 0.7039)
O (0.4386, 0.1265, 0.3343)
O (0.5614, 0.8735, 0.6657)
O (0.7979, 0.7979, 0.2961)
O (0.8735, 0.5614, 0.6657)

Results
As for the formation energy (no corrections): -23.579 eV/f.u. The density is 7028 kg/m³. The calculated total energy comes out at -0.219 hartree per atom.

=====

(5)
Here is RbTc2PtO8 after structural relaxation from Alexandria. Energies are from PBE-GGA.

a = 5.3772 Å, b = 5.3772 Å, c = 8.6088 Å
α = 90.00°, β = 90.00°, γ = 120.00°
Element x y z (fractional)
Rb (0.0000, 0.0000, 0.0000)
Tc (0.3333, 0.6667, 0.7152)
Tc (0.6667, 0.3333, 0.2848)
Pt (0.0000, 0.0000, 0.5000)
O (0.0388, 0.3379, 0.6439)
O (0.2991, 0.9612, 0.6439)
O (0.3333, 0.6667, 0.9183)
O (0.3379, 0.2991, 0.3561)
O (0.6621, 0.7009, 0.6439)
O (0.6667, 0.3333, 0.0817)
O (0.7009, 0.0388, 0.3561)
O (0.9612, 0.6621, 0.3561)

Results
As for the formation energy (no corrections): -14.639 eV/f.u. The density is 4657 kg/m³. The calculated total energy comes out at -0.251 hartree per atom.

=====

(6)
Here is RbTe2PtO8 after structural relaxation from Alexandria. Energies are from PBE-GGA.

a = 5.3590 Å, b = 5.3590 Å, c = 8.7423 Å
α = 90.00°, β = 90.00°, γ = 120.00°
Element x y z (fractional)
Rb (0.0000, 0.0000, 0.0000)
Te (0.3333, 0.6667, 0.6807)
Te (0.6667, 0.3333, 0.3193)
Pt (0.0000, 0.0000, 0.5000)
O (0.0133, 0.7049, 0.3634)
O (0.2951, 0.3085, 0.3634)
O (0.3085, 0.0133, 0.6366)
O (0.3333, 0.6667, 0.8889)
O (0.6667, 0.3333, 0.1111)
O (0.6915, 0.9867, 0.3634)
O (0.7049, 0.6915, 0.6366)
O (0.9867, 0.2951, 0.6366)

Results
As for the formation energy (no corrections): -9.520 eV/f.u. The density is 5069 kg/m³. The calculated total energy comes out at -0.191 hartree per atom.

=====

(7)
Here is Rb5TePtO2 after structural relaxation from Alexandria. Energies are from PBE-GGA.

a = 5.7496 Å, b = 5.7496 Å, c = 9.5057 Å
α = 90.00°, β = 90.00°, γ = 90.00°
Element x y z (fractional)
Rb (0.0000, 0.0000, 0.0000)
Rb (0.0000, 0.5000, 0.2717)
Rb (0.0000, 0.5000, 0.7283)
Rb (0.5000, 0.0000, 0.2717)
Rb (0.5000, 0.0000, 0.7283)
Te (0.5000, 0.5000, 0.0000)
Pt (0.0000, 0.0000, 0.5000)
O (0.0000, 0.0000, 0.2941)
O (0.0000, 0.0000, 0.7059)

Results
As for the formation energy (no corrections): -8.939 eV/f.u. The density is 4132 kg/m³. The calculated total energy comes out at -0.134 hartree per atom.

=====

(8)
Here is RbTePtO6 after structural relaxation from Alexandria. Energies are from PBE-GGA.

a = 5.2898 Å, b = 5.2898 Å, c = 6.4736 Å
α = 90.00°, β = 90.00°, γ = 120.00°
Element x y z (fractional)
Rb (0.0000, 0.0000, 0.0000)
Te (0.6667, 0.3333, 0.5000)
Pt (0.3333, 0.6667, 0.5000)
O (0.3791, 0.0047, 0.6710)
O (0.3791, 0.3743, 0.3290)
O (0.6257, 0.0047, 0.3290)
O (0.6257, 0.6209, 0.6710)
O (0.9953, 0.3743, 0.6710)
O (0.9953, 0.6209, 0.3290)

Results
As for the formation energy (no corrections): -8.510 eV/f.u. The density is 5336 kg/m³. The calculated total energy comes out at -0.198 hartree per atom.

=====

Question: What is the formula in the eighth record?
Answer: RbTePtO6

=====

Question: Look up the calculated total energy of the first one.
Answer: -0.185 hartree per atom

=====

Question: Look up the calculated total energy of the fifth one.
Answer: -0.251 hartree per atom

=====

Question: What is the formula in the eighth record?
Answer: RbTePtO6